## w
The following is a GGA-PBE calculation of a geometry-optimized ScGa2Ni4 structure, from the Alexandria database.

```
data_ScGa2Ni4
_cell_length_a 7.018
_cell_length_b 7.018
_cell_length_c 3.882
_cell_angle_alpha 90.00
_cell_angle_beta 90.00
_cell_angle_gamma 90.00
_symmetry_space_group_name_H-M 'P 42/m n m'
_symmetry_Int_Tables_number 136
_symmetry_space_group_name_Hall '-P 4n 2n'
loop_
_atom_site_label
_atom_site_type_symbol
_atom_site_fract_x
_atom_site_fract_y
_atom_site_fract_z
Sc1 Sc 0.000 0.000 0.000
Ga1 Ga 0.215 0.215 0.500
Ni1 Ni 0.097 0.645 0.500
```

## x
The following is a GGA-PBE calculation of a geometry-optimized ScGa2Ni4 structure, from the Alexandria database.

```
data_ScGa2Ni4
_cell_length_a 4.929
_cell_length_b 8.327
_cell_length_c 9.112
_cell_angle_alpha 90.00
_cell_angle_beta 90.00
_cell_angle_gamma 90.00
_symmetry_space_group_name_H-M 'F m m m'
_symmetry_Int_Tables_number 69
_symmetry_space_group_name_Hall '-F 2 2'
loop_
_atom_site_label
_atom_site_type_symbol
_atom_site_fract_x
_atom_site_fract_y
_atom_site_fract_z
Sc1 Sc 0.000 0.000 0.000
Ga1 Ga 0.000 0.000 0.316
Ni1 Ni 0.000 0.198 0.500
Ni2 Ni 0.250 0.250 0.250
```

Pick w: it beats the second-best structure by 0.012 eV/atom.

## w
The following is a GGA-PBE calculation of a geometry-optimized Sc4GaNi structure, from the Alexandria database.

```
data_Sc4GaNi
_cell_length_a 8.160
_cell_length_b 12.392
_cell_length_c 5.361
_cell_angle_alpha 90.00
_cell_angle_beta 113.67
_cell_angle_gamma 90.00
_symmetry_space_group_name_H-M 'C 1 2/c 1'
_symmetry_Int_Tables_number 15
_symmetry_space_group_name_Hall '-C 2yc'
loop_
_atom_site_label
_atom_site_type_symbol
_atom_site_fract_x
_atom_site_fract_y
_atom_site_fract_z
Sc1 Sc 0.117 0.176 0.073
Sc2 Sc 0.209 0.428 0.328
Ga1 Ga 0.000 0.372 0.750
Ni1 Ni 0.000 0.001 0.250
```

## x
The following is a GGA-PBE calculation of a geometry-optimized Sc4GaNi structure, from the Alexandria database.

```
data_Sc4GaNi
_cell_length_a 4.839
_cell_length_b 6.315
_cell_length_c 7.909
_cell_angle_alpha 90.00
_cell_angle_beta 98.14
_cell_angle_gamma 90.00
_symmetry_space_group_name_H-M 'P 1 21/m 1'
_symmetry_Int_Tables_number 11
_symmetry_space_group_name_Hall '-P 2yb'
loop_
_atom_site_label
_atom_site_type_symbol
_atom_site_fract_x
_atom_site_fract_y
_atom_site_fract_z
Sc1 Sc 0.167 0.250 0.063
Sc2 Sc 0.226 0.750 0.387
Sc3 Sc 0.312 0.509 0.753
Ga1 Ga 0.230 0.250 0.422
Ni1 Ni 0.334 0.750 0.061
```

Pick x: it beats the second-best structure by 0.024 eV/atom.

## w
The following is a GGA-PBE calculation of a geometry-optimized Ga2SiNi2 structure, from the Alexandria database.

```
data_Ga2SiNi2
_cell_length_a 3.9643
_cell_length_b 3.9643
_cell_length_c 4.9633
_cell_angle_alpha 90.00
_cell_angle_beta 90.00
_cell_angle_gamma 120.00
_symmetry_space_group_name_H-M 'P -3 m 1'
_symmetry_Int_Tables_number 164
_symmetry_space_group_name_Hall '-P 3 2"'
loop_
_atom_site_label
_atom_site_type_symbol
_atom_site_fract_x
_atom_site_fract_y
_atom_site_fract_z
Ga1 Ga 0.3333 0.6667 0.3635
Si1 Si 0.0000 0.0000 0.0000
Ni1 Ni 0.3333 0.6667 0.8622
```

## x
The following is a GGA-PBE calculation of a geometry-optimized Ga2SiNi2 structure, from the Alexandria database.

```
data_Ga2SiNi2
_cell_length_a 6.097
_cell_length_b 6.097
_cell_length_c 3.650
_cell_angle_alpha 90.00
_cell_angle_beta 90.00
_cell_angle_gamma 90.00
_symmetry_space_group_name_H-M 'P 4/m b m'
_symmetry_Int_Tables_number 127
_symmetry_space_group_name_Hall '-P 4 2ab'
loop_
_atom_site_label
_atom_site_type_symbol
_atom_site_fract_x
_atom_site_fract_y
_atom_site_fract_z
Ga1 Ga 0.155 0.345 0.000
Si1 Si 0.000 0.000 0.500
Ni1 Ni 0.153 0.653 0.500
```

Pick w: it beats the second-best structure by 0.211 eV/atom.

## w
The following is a GGA-PBE calculation of a geometry-optimized GaSiNi3 structure, from the Alexandria database.

```
data_GaSiNi3
_cell_length_a 8.878
_cell_length_b 8.937
_cell_length_c 7.005
_cell_angle_alpha 90.00
_cell_angle_beta 118.77
_cell_angle_gamma 90.00
_symmetry_space_group_name_H-M 'C 1 2/c 1'
_symmetry_Int_Tables_number 15
_symmetry_space_group_name_Hall '-C 2yc'
loop_
_atom_site_label
_atom_site_type_symbol
_atom_site_fract_x
_atom_site_fract_y
_atom_site_fract_z
Ga1 Ga 0.109 0.140 0.178
Si1 Si 0.000 0.195 0.750
Si2 Si 0.000 0.446 0.250
Ni1 Ni 0.094 0.379 0.593
Ni2 Ni 0.201 0.126 0.592
Ni3 Ni 0.219 0.383 0.015
```

## x
The following is a GGA-PBE calculation of a geometry-optimized GaSiNi3 structure, from the Alexandria database.

```
data_GaSiNi3
_cell_length_a 4.190
_cell_length_b 4.190
_cell_length_c 4.190
_cell_angle_alpha 90.00
_cell_angle_beta 90.00
_cell_angle_gamma 90.00
_symmetry_space_group_name_H-M 'P m -3 m'
_symmetry_Int_Tables_number 221
_symmetry_space_group_name_Hall '-P 4 2 3'
loop_
_atom_site_label
_atom_site_type_symbol
_atom_site_fract_x
_atom_site_fract_y
_atom_site_fract_z
Ga1 Ga 0.000 0.000 0.000
Si1 Si 0.500 0.500 0.500
Ni1 Ni 0.000 0.500 0.500
```

Pick w: it beats the second-best structure by 0.579 eV/atom.

## w
The following is a GGA-PBE calculation of a geometry-optimized Ga3SiNi3 structure, from the Alexandria database.

```
data_Ga3SiNi3
_cell_length_a 5.643
_cell_length_b 8.554
_cell_length_c 7.833
_cell_angle_alpha 90.00
_cell_angle_beta 90.03
_cell_angle_gamma 90.00
_symmetry_space_group_name_H-M 'C 1 2/m 1'
_symmetry_Int_Tables_number 12
_symmetry_space_group_name_Hall '-C 2y'
loop_
_atom_site_label
_atom_site_type_symbol
_atom_site_fract_x
_atom_site_fract_y
_atom_site_fract_z
Ga1 Ga 0.000 0.168 0.000
Ga2 Ga 0.000 0.215 0.500
Ga3 Ga 0.062 0.500 0.158
Si1 Si 0.194 0.500 0.561
Ni1 Ni 0.041 0.000 0.726
Ni2 Ni 0.229 0.280 0.753
```

## x
The following is a GGA-PBE calculation of a geometry-optimized Ga3SiNi3 structure, from the Alexandria database.

```
data_Ga3SiNi3
_cell_length_a 8.0089
_cell_length_b 8.0089
_cell_length_c 5.0592
_cell_angle_alpha 90.00
_cell_angle_beta 90.00
_cell_angle_gamma 120.00
_symmetry_space_group_name_H-M 'R -3 m'
_symmetry_Int_Tables_number 166
_symmetry_space_group_name_Hall '-R 3 2"'
loop_
_atom_site_label
_atom_site_type_symbol
_atom_site_fract_x
_atom_site_fract_y
_atom_site_fract_z
Ga1 Ga 0.0000 0.5000 0.0000
Si1 Si 0.0000 0.0000 0.0000
Ni1 Ni 0.0000 0.5000 0.5000
```

Pick x: it beats the second-best structure by 0.045 eV/atom.

## w
The following is a GGA-PBE calculation of a geometry-optimized SmGa3Ni structure, from the Alexandria database.

```
data_SmGa3Ni
_cell_length_a 4.104
_cell_length_b 4.104
_cell_length_c 10.679
_cell_angle_alpha 90.00
_cell_angle_beta 90.00
_cell_angle_gamma 90.00
_symmetry_space_group_name_H-M 'I -4 m 2'
_symmetry_Int_Tables_number 119
_symmetry_space_group_name_Hall 'I -4 -2'
loop_
_atom_site_label
_atom_site_type_symbol
_atom_site_fract_x
_atom_site_fract_y
_atom_site_fract_z
Sm1 Sm 0.000 0.000 0.000
Ga1 Ga 0.000 0.000 0.383
Ga2 Ga 0.000 0.500 0.250
Ni1 Ni 0.000 0.500 0.750
```

## x
The following is a GGA-PBE calculation of a geometry-optimized SmGa3Ni structure, from the Alexandria database.

```
data_SmGa3Ni
_cell_length_a 5.994
_cell_length_b 6.004
_cell_length_c 10.150
_cell_angle_alpha 90.00
_cell_angle_beta 90.00
_cell_angle_gamma 90.00
_symmetry_space_group_name_H-M 'F m m 2'
_symmetry_Int_Tables_number 42
_symmetry_space_group_name_Hall 'F 2 -2'
loop_
_atom_site_label
_atom_site_type_symbol
_atom_site_fract_x
_atom_site_fract_y
_atom_site_fract_z
Sm1 Sm 0.000 0.000 0.000
Ga1 Ga 0.000 0.000 0.585
Ga2 Ga 0.250 0.250 0.251
Ni1 Ni 0.000 0.000 0.356
```

Pick x: it beats the second-best structure by 0.069 eV/atom.